Record 1
First-principles (PBE) data for Ti3AlAs after structural relaxation, as listed in Alexandria.

Cell lengths 4.6608, 4.6608, 4.6608 Å; angles 90.00, 90.00, 90.00 degrees
Fractional coordinates of all 5 atoms:
As 0.0000 0.0000 0.0000
Al 0.5000 0.5000 0.5000
Ti 0.0000 0.5000 0.0000
Ti 0.0000 0.0000 0.5000
Ti 0.5000 0.0000 0.0000

## Properties
Space group: No. 221
ΔE_f in eV/atom: 0.06
Total moment in μB/f.u.: 0.0
E above lowest polymorph in eV/f.u.: 0.00

***

Record 2
First-principles (PBE) data for Gd2Dy after structural relaxation, as listed in Alexandria.

Cell lengths 4.1434, 4.1434, 6.3740 Å; angles 108.97, 108.97, 90.00 degrees
Last column: magnetic moment on the atom in μB.
Fractional coordinates of all 3 atoms:
Gd 0.6657 0.6657 0.3314  7.34
Gd 0.3343 0.3343 0.6686  7.34
Dy 0.0000 0.0000 0.0000  0.20

## Properties
Space group: No. 139
ΔE_f in eV/atom: 0.09
Total moment in μB/f.u.: 15.7
E above lowest polymorph in eV/f.u.: 0.00

***

Record 3
First-principles (PBE) data for ZrCd2InCu after structural relaxation, as listed in Alexandria.

Cell lengths 4.8288, 4.8546, 4.8288 Å; angles 90.00, 90.00, 90.00 degrees
Fractional coordinates of all 5 atoms:
Cd 0.0000 0.0000 0.5000
Cd 0.5000 0.0000 0.0000
Cu 0.0000 0.0000 0.0000
Zr 0.5000 0.5000 0.5000
In 0.0000 0.5000 0.0000

## Properties
Space group: No. 123
ΔE_f in eV/atom: 0.35
Total moment in μB/f.u.: 0.0